First-principles (SCAN) data for Mo2AsPC at its PBEsol-relaxed geometry, as listed in Alexandria.

a = 4.3168 Å, b = 4.3168 Å, c = 3.4942 Å
α = 90.00°, β = 90.00°, γ = 90.00°
With the nearest neighbours (Å) after each atom.
Space group P4/mmm (No. 123)
Asymmetric unit:
Mo 0.0000 0.5000 0.0000 (multiplicity 2)  2 C 2.16
As 0.0000 0.0000 0.5000 (multiplicity 1)  8 Mo 2.78, 4 P 3.05
P 0.5000 0.5000 0.5000 (multiplicity 1)  2 C 1.75
C 0.5000 0.5000 0.0000 (multiplicity 1)  2 P 1.75

Calculated values
Crystal system ... tetragonal
Magnetic moment ... 0.0 μB/f.u.
VASP energy ... -21.483 eV/atom
E_form ... 0.609 eV per atom
DOS(E_F) ... 0.571 states/eV per atom